Entry from the Alexandria database: an optimized crystal structure of Rb3MnHg2F9 (GGA+U).

Cell lengths 6.3765, 6.3765, 7.8183 Å; angles 90.00, 90.00, 120.00 degrees
Site moments in Bohr magnetons follow the coordinates.
Fractional coordinates of all 15 atoms:
Hg1 0.3333 0.6667 0.1804  0.03
F1 0.8426 0.6852 0.6560  0.01
F2 0.5000 0.5000 0.0000  0.01
Rb1 0.3333 0.6667 0.6735  0.00
F3 0.1574 0.3148 0.3440  0.01
Hg2 0.6667 0.3333 0.8196  0.03
F4 0.3148 0.1574 0.6560  0.01
Rb2 0.6667 0.3333 0.3265  0.00
F5 0.0000 0.5000 0.0000  0.01
Mn1 0.0000 0.0000 0.5000  4.65
Rb3 0.0000 0.0000 0.0000  0.00
F6 0.1574 0.8426 0.3440  0.01
F7 0.6852 0.8426 0.3440  0.01
F8 0.8426 0.1574 0.6560  0.01
F9 0.5000 0.0000 0.0000  0.01

Values from the calculation:
- VASP energy: -4.10 eV per atom
- Total magnetization: 0.333 μB/atom